No. 1
Sr2LaAl9 | PBE | relaxed Values from VASP.

Quantum ESPRESSO input file:
```
&SYSTEM
  ibrav = 0, nat = 12, ntyp = 3
/
ATOMIC_SPECIES
Sr 87.62 Sr.upf
La 138.91 La.upf
Al 26.98 Al.upf
CELL_PARAMETERS angstrom
2.8939 1.6708 9.0275
-2.8939 1.6708 9.0275
0.0000 -3.3416 9.0275
ATOMIC_POSITIONS crystal
Sr 0.1417 0.1417 0.1417
Sr 0.8583 0.8583 0.8583
La 0.0000 0.0000 0.0000
Al 0.0746 0.5822 0.5822
Al 0.3349 0.3349 0.3349
Al 0.4178 0.4178 0.9254
Al 0.4178 0.9254 0.4178
Al 0.5000 0.5000 0.5000
Al 0.5822 0.0746 0.5822
Al 0.5822 0.5822 0.0746
Al 0.6651 0.6651 0.6651
Al 0.9254 0.4178 0.4178
```


No. 2
SrLa2Al | PBE | relaxed Values from VASP.

Quantum ESPRESSO input file:
```
&SYSTEM
  ibrav = 0, nat = 4, ntyp = 3
/
ATOMIC_SPECIES
Sr 87.62 Sr.upf
La 138.91 La.upf
Al 26.98 Al.upf
CELL_PARAMETERS angstrom
-2.4961 2.4961 5.2631
2.4961 -2.4961 5.2631
2.4961 2.4961 -5.2631
ATOMIC_POSITIONS crystal
Sr 0.0000 0.0000 0.0000
La 0.5000 0.5000 0.0000
La 0.7500 0.2500 0.5000
Al 0.2500 0.7500 0.5000
```


No. 3
SrLa2Al | PBE | relaxed Values from VASP.

Quantum ESPRESSO input file:
```
&SYSTEM
  ibrav = 0, nat = 4, ntyp = 3
/
ATOMIC_SPECIES
Sr 87.62 Sr.upf
La 138.91 La.upf
Al 26.98 Al.upf
CELL_PARAMETERS angstrom
1.9480 1.1247 11.5960
-1.9480 1.1247 11.5960
0.0000 -2.2494 11.5960
ATOMIC_POSITIONS crystal
Sr 0.0000 0.0000 0.0000
La 0.2301 0.2301 0.2301
La 0.7699 0.7699 0.7699
Al 0.5000 0.5000 0.5000
```


No. 4
SrLa2Al | PBE | relaxed Values from VASP.

Quantum ESPRESSO input file:
```
&SYSTEM
  ibrav = 0, nat = 4, ntyp = 3
/
ATOMIC_SPECIES
Sr 87.62 Sr.upf
La 138.91 La.upf
Al 26.98 Al.upf
CELL_PARAMETERS angstrom
-1.9489 2.8587 6.2392
1.9489 -2.8587 6.2392
1.9489 2.8587 -6.2392
ATOMIC_POSITIONS crystal
Sr 0.0000 0.0000 0.0000
La 0.2920 0.7920 0.5000
La 0.7080 0.2080 0.5000
Al 0.5000 0.5000 0.0000
```


no.,ΔE_f (eV per atom),mass density (kg/m³)
1,-0.28,3531
2,0.01,4968
3,0.02,4275
4,-0.08,4686